Material: GaNi2GeF
Method: DFT, PBE with a Hubbard U
State: optimized geometry

POSCAR file:
```
GaNi2GeF
1.0
4.483 0.000 0.000
0.000 4.483 0.000
0.000 0.000 3.894
Ga Ni Ge F
1 2 1 1
direct
0.000 0.000 0.000
0.000 0.500 0.000
0.500 0.000 0.000
0.500 0.500 0.500
0.000 0.000 0.500
```

## Properties
* total DFT energy (no corrections): -12.0 eV/cell
* density of states at the Fermi level: 0.4862 states/eV/atom
* SG: P4/mmm
* ρ: 5.91 g/cm3